Record 1
Density functional theory data (GGA-PBE) for a geometry-optimized LiMgTc4 structure.

The structure in CIF format:
```
data_LiMgTc4
_chemical_formula_sum 'Li1 Mg1 Tc4'
_symmetry_space_group_name_H-M 'P 1'
_symmetry_Int_Tables_number 1
_symmetry_space_group_name_Hall 'P 1'
_cell_length_a 5.172
_cell_length_b 5.172
_cell_length_c 5.172
_cell_angle_alpha 60.00
_cell_angle_beta 60.00
_cell_angle_gamma 60.00
loop_
_atom_site_label
_atom_site_type_symbol
_atom_site_fract_x
_atom_site_fract_y
_atom_site_fract_z
_atom_site_occupancy
Li1 Li 0.000 0.000 0.000 1
Mg1 Mg 0.750 0.750 0.750 1
Tc1 Tc 0.375 0.375 0.375 1
Tc2 Tc 0.375 0.375 0.876 1
Tc3 Tc 0.375 0.876 0.375 1
Tc4 Tc 0.876 0.375 0.375 1
```

ρ ... 7.184 g cm⁻³
Volume ... 98 Å³ per cell
Formation energy ... 323 meV/atom
SG ... F-43m, No. 216

Record 2
Density functional theory data (GGA-PBE) for a geometry-optimized LiMgTc2 structure.

The structure in CIF format:
```
data_LiMgTc2
_chemical_formula_sum 'Li1 Mg1 Tc2'
_symmetry_space_group_name_H-M 'P 1'
_symmetry_Int_Tables_number 1
_symmetry_space_group_name_Hall 'P 1'
_cell_length_a 2.665
_cell_length_b 4.355
_cell_length_c 5.349
_cell_angle_alpha 90.00
_cell_angle_beta 97.78
_cell_angle_gamma 90.00
loop_
_atom_site_label
_atom_site_type_symbol
_atom_site_fract_x
_atom_site_fract_y
_atom_site_fract_z
_atom_site_occupancy
Li1 Li 0.000 0.000 0.000 1
Mg1 Mg 0.750 0.500 0.236 1
Tc1 Tc 0.245 0.500 0.728 1
Tc2 Tc 0.433 0.000 0.536 1
```

ρ ... 6.134 g cm⁻³
Volume ... 62 Å³ per cell
Formation energy ... 157 meV/atom
SG ... Pm, No. 6

Record 3
Density functional theory data (GGA-PBE) for a geometry-optimized LiMg2Tc2 structure.

The structure in CIF format:
```
data_LiMg2Tc2
_chemical_formula_sum 'Li2 Mg4 Tc4'
_symmetry_space_group_name_H-M 'P 1'
_symmetry_Int_Tables_number 1
_symmetry_space_group_name_Hall 'P 1'
_cell_length_a 8.081
_cell_length_b 8.081
_cell_length_c 2.827
_cell_angle_alpha 90.00
_cell_angle_beta 90.00
_cell_angle_gamma 90.00
loop_
_atom_site_label
_atom_site_type_symbol
_atom_site_fract_x
_atom_site_fract_y
_atom_site_fract_z
_atom_site_occupancy
Li1 Li 0.000 0.000 0.000 1
Li2 Li 0.500 0.500 0.000 1
Mg1 Mg 0.189 0.311 0.500 1
Mg2 Mg 0.311 0.811 0.500 1
Mg3 Mg 0.689 0.189 0.500 1
Mg4 Mg 0.811 0.689 0.500 1
Tc1 Tc 0.100 0.600 0.000 1
Tc2 Tc 0.400 0.100 0.000 1
Tc3 Tc 0.600 0.900 0.000 1
Tc4 Tc 0.900 0.400 0.000 1
```

ρ ... 4.525 g cm⁻³
Volume ... 185 Å³ per cell
Formation energy ... 337 meV/atom
SG ... P4/mbm, No. 127

Record 4
Density functional theory data (GGA-PBE) for a geometry-optimized Li2MgTc2 structure.

The structure in CIF format:
```
data_Li2MgTc2
_chemical_formula_sum 'Li4 Mg2 Tc4'
_symmetry_space_group_name_H-M 'P 1'
_symmetry_Int_Tables_number 1
_symmetry_space_group_name_Hall 'P 1'
_cell_length_a 3.602
_cell_length_b 3.602
_cell_length_c 12.996
_cell_angle_alpha 90.00
_cell_angle_beta 90.00
_cell_angle_gamma 90.00
loop_
_atom_site_label
_atom_site_type_symbol
_atom_site_fract_x
_atom_site_fract_y
_atom_site_fract_z
_atom_site_occupancy
Li1 Li 0.000 0.500 0.250 1
Li2 Li 0.000 0.500 0.750 1
Li3 Li 0.500 0.000 0.250 1
Li4 Li 0.500 0.000 0.750 1
Mg1 Mg 0.000 0.000 0.000 1
Mg2 Mg 0.500 0.500 0.500 1
Tc1 Tc 0.000 0.000 0.415 1
Tc2 Tc 0.000 0.000 0.585 1
Tc3 Tc 0.500 0.500 0.085 1
Tc4 Tc 0.500 0.500 0.915 1
```

ρ ... 4.612 g cm⁻³
Energy above the lowest structure with this stoichiometry ... 252.9 meV/atom
Volume ... 169 Å³ per cell
Formation energy ... 680 meV/atom
SG ... I4/mmm, No. 139

Record 5
Density functional theory data (GGA-PBE) for a geometry-optimized Li2MgTc2 structure.

The structure in CIF format:
```
data_Li2MgTc2
_chemical_formula_sum 'Li4 Mg2 Tc4'
_symmetry_space_group_name_H-M 'P 1'
_symmetry_Int_Tables_number 1
_symmetry_space_group_name_Hall 'P 1'
_cell_length_a 7.550
_cell_length_b 7.550
_cell_length_c 2.783
_cell_angle_alpha 90.00
_cell_angle_beta 90.00
_cell_angle_gamma 90.00
loop_
_atom_site_label
_atom_site_type_symbol
_atom_site_fract_x
_atom_site_fract_y
_atom_site_fract_z
_atom_site_occupancy
Li1 Li 0.187 0.313 0.000 1
Li2 Li 0.313 0.813 0.000 1
Li3 Li 0.687 0.187 0.000 1
Li4 Li 0.813 0.687 0.000 1
Mg1 Mg 0.000 0.000 0.500 1
Mg2 Mg 0.500 0.500 0.500 1
Tc1 Tc 0.105 0.605 0.500 1
Tc2 Tc 0.395 0.105 0.500 1
Tc3 Tc 0.605 0.895 0.500 1
Tc4 Tc 0.895 0.395 0.500 1
```

ρ ... 4.903 g cm⁻³
Energy above the lowest structure with this stoichiometry ... 0.0 meV/atom
Volume ... 159 Å³ per cell
Formation energy ... 427 meV/atom
SG ... P4/mbm, No. 127

Record 6
Density functional theory data (GGA-PBE) for a geometry-optimized LiMgTc3 structure.

The structure in CIF format:
```
data_LiMgTc3
_chemical_formula_sum 'Li1 Mg1 Tc3'
_symmetry_space_group_name_H-M 'P 1'
_symmetry_Int_Tables_number 1
_symmetry_space_group_name_Hall 'P 1'
_cell_length_a 4.205
_cell_length_b 4.205
_cell_length_c 4.205
_cell_angle_alpha 90.00
_cell_angle_beta 90.00
_cell_angle_gamma 90.00
loop_
_atom_site_label
_atom_site_type_symbol
_atom_site_fract_x
_atom_site_fract_y
_atom_site_fract_z
_atom_site_occupancy
Li1 Li 0.000 0.000 0.000 1
Mg1 Mg 0.500 0.500 0.500 1
Tc1 Tc 0.000 0.000 0.500 1
Tc2 Tc 0.000 0.500 0.000 1
Tc3 Tc 0.500 0.000 0.000 1
```

ρ ... 7.264 g cm⁻³
Energy above the lowest structure with this stoichiometry ... 0.0 meV/atom
Volume ... 74 Å³ per cell
Formation energy ... 1159 meV/atom
SG ... Pm-3m, No. 221

Record 7
Density functional theory data (GGA-PBE) for a geometry-optimized LiMgTc3 structure.

The structure in CIF format:
```
data_LiMgTc3
_chemical_formula_sum 'Li1 Mg1 Tc3'
_symmetry_space_group_name_H-M 'P 1'
_symmetry_Int_Tables_number 1
_symmetry_space_group_name_Hall 'P 1'
_cell_length_a 4.620
_cell_length_b 4.620
_cell_length_c 4.620
_cell_angle_alpha 90.00
_cell_angle_beta 90.00
_cell_angle_gamma 90.00
loop_
_atom_site_label
_atom_site_type_symbol
_atom_site_fract_x
_atom_site_fract_y
_atom_site_fract_z
_atom_site_occupancy
Li1 Li 0.000 0.000 0.000 1
Mg1 Mg 0.500 0.500 0.500 1
Tc1 Tc 0.000 0.500 0.500 1
Tc2 Tc 0.500 0.000 0.500 1
Tc3 Tc 0.500 0.500 0.000 1
```

ρ ... 5.476 g cm⁻³
Energy above the lowest structure with this stoichiometry ... 904.3 meV/atom
Volume ... 99 Å³ per cell
Formation energy ... 2063 meV/atom
SG ... Pm-3m, No. 221

Record 8
Density functional theory data (GGA-PBE) for a geometry-optimized LiMgTc2 structure.

The structure in CIF format:
```
data_LiMgTc2
_chemical_formula_sum 'Li2 Mg2 Tc4'
_symmetry_space_group_name_H-M 'P 1'
_symmetry_Int_Tables_number 1
_symmetry_space_group_name_Hall 'P 1'
_cell_length_a 3.176
_cell_length_b 4.140
_cell_length_c 9.184
_cell_angle_alpha 90.00
_cell_angle_beta 90.00
_cell_angle_gamma 90.00
loop_
_atom_site_label
_atom_site_type_symbol
_atom_site_fract_x
_atom_site_fract_y
_atom_site_fract_z
_atom_site_occupancy
Li1 Li 0.000 0.000 0.000 1
Li2 Li 0.500 0.500 0.000 1
Mg1 Mg 0.000 0.000 0.500 1
Mg2 Mg 0.500 0.500 0.500 1
Tc1 Tc 0.000 0.500 0.249 1
Tc2 Tc 0.000 0.500 0.751 1
Tc3 Tc 0.500 0.000 0.249 1
Tc4 Tc 0.500 0.000 0.751 1
```

ρ ... 6.249 g cm⁻³
Volume ... 121 Å³ per cell
Formation energy ... 292 meV/atom
SG ... Cmmm, No. 65

Record 9
Density functional theory data (GGA-PBE) for a geometry-optimized LiMgTc2 structure.

The structure in CIF format:
```
data_LiMgTc2
_chemical_formula_sum 'Li1 Mg1 Tc2'
_symmetry_space_group_name_H-M 'P 1'
_symmetry_Int_Tables_number 1
_symmetry_space_group_name_Hall 'P 1'
_cell_length_a 3.180
_cell_length_b 4.098
_cell_length_c 4.589
_cell_angle_alpha 90.00
_cell_angle_beta 90.00
_cell_angle_gamma 90.00
loop_
_atom_site_label
_atom_site_type_symbol
_atom_site_fract_x
_atom_site_fract_y
_atom_site_fract_z
_atom_site_occupancy
Li1 Li 0.000 0.000 0.000 1
Mg1 Mg 0.500 0.500 0.000 1
Tc1 Tc 0.000 0.500 0.500 1
Tc2 Tc 0.500 0.000 0.500 1
```

ρ ... 6.309 g cm⁻³
Volume ... 60 Å³ per cell
Formation energy ... 210 meV/atom
SG ... Pmmm, No. 47

Record 10
Density functional theory data (GGA-PBE) for a geometry-optimized Li4MgTc structure.

The structure in CIF format:
```
data_Li4MgTc
_chemical_formula_sum 'Li4 Mg1 Tc1'
_symmetry_space_group_name_H-M 'P 1'
_symmetry_Int_Tables_number 1
_symmetry_space_group_name_Hall 'P 1'
_cell_length_a 5.093
_cell_length_b 5.093
_cell_length_c 5.093
_cell_angle_alpha 60.00
_cell_angle_beta 60.00
_cell_angle_gamma 60.00
loop_
_atom_site_label
_atom_site_type_symbol
_atom_site_fract_x
_atom_site_fract_y
_atom_site_fract_z
_atom_site_occupancy
Li1 Li 0.377 0.377 0.377 1
Li2 Li 0.377 0.377 0.870 1
Li3 Li 0.377 0.870 0.377 1
Li4 Li 0.870 0.377 0.377 1
Mg1 Mg 0.000 0.000 0.000 1
Tc1 Tc 0.750 0.750 0.750 1
```

ρ ... 2.667 g cm⁻³
Volume ... 93 Å³ per cell
Formation energy ... 371 meV/atom
SG ... F-43m, No. 216

Record 11
Density functional theory data (GGA-PBE) for a geometry-optimized LiMgTc2 structure.

The structure in CIF format:
```
data_LiMgTc2
_chemical_formula_sum 'Li4 Mg4 Tc8'
_symmetry_space_group_name_H-M 'P 1'
_symmetry_Int_Tables_number 1
_symmetry_space_group_name_Hall 'P 1'
_cell_length_a 3.618
_cell_length_b 3.618
_cell_length_c 19.414
_cell_angle_alpha 90.00
_cell_angle_beta 90.00
_cell_angle_gamma 90.00
loop_
_atom_site_label
_atom_site_type_symbol
_atom_site_fract_x
_atom_site_fract_y
_atom_site_fract_z
_atom_site_occupancy
Li1 Li 0.000 0.000 0.000 1
Li2 Li 0.000 0.500 0.250 1
Li3 Li 0.500 0.000 0.750 1
Li4 Li 0.500 0.500 0.500 1
Mg1 Mg 0.000 0.000 0.500 1
Mg2 Mg 0.000 0.500 0.750 1
Mg3 Mg 0.500 0.000 0.250 1
Mg4 Mg 0.500 0.500 0.000 1
Tc1 Tc 0.239 0.250 0.125 1
Tc2 Tc 0.250 0.739 0.375 1
Tc3 Tc 0.250 0.761 0.875 1
Tc4 Tc 0.261 0.250 0.625 1
Tc5 Tc 0.739 0.750 0.625 1
Tc6 Tc 0.750 0.239 0.875 1
Tc7 Tc 0.750 0.261 0.375 1
Tc8 Tc 0.761 0.750 0.125 1
```

ρ ... 5.939 g cm⁻³
Volume ... 254 Å³ per cell
Formation energy ... 476 meV/atom
SG ... I-42d, No. 122

Record 12
Density functional theory data (GGA-PBE) for a geometry-optimized LiMgTc2 structure.

The structure in CIF format:
```
data_LiMgTc2
_chemical_formula_sum 'Li1 Mg1 Tc2'
_symmetry_space_group_name_H-M 'P 1'
_symmetry_Int_Tables_number 1
_symmetry_space_group_name_Hall 'P 1'
_cell_length_a 2.621
_cell_length_b 4.576
_cell_length_c 5.164
_cell_angle_alpha 90.00
_cell_angle_beta 104.52
_cell_angle_gamma 90.00
loop_
_atom_site_label
_atom_site_type_symbol
_atom_site_fract_x
_atom_site_fract_y
_atom_site_fract_z
_atom_site_occupancy
Li1 Li 0.000 0.000 0.000 1
Mg1 Mg 0.000 0.000 0.500 1
Tc1 Tc 0.480 0.500 0.245 1
Tc2 Tc 0.520 0.500 0.755 1
```

ρ ... 6.295 g cm⁻³
Volume ... 60 Å³ per cell
Formation energy ... 249 meV/atom
SG ... P2/m, No. 10

What is the formula in the fifth record? Li2MgTc2

Which of these has the lowest ρ? Li4MgTc

What is the formula in the fourth record? Li2MgTc2

Which formula does entry 1 have? LiMgTc4